Record 1
A relaxed CsZrNO crystal, computed with PBE-GGA.

Calculated values
- energy relative to the lowest polymorph listed for this composition (kcal/mol of atoms) = 2.82
- magnetic moment (μB/f.u.) = 0.00

```
CsZrNO
1.0
3.666 0.000 0.000
0.000 7.441 0.000
0.000 0.000 6.503
Cs Zr N O
2 2 2 2
direct
0.000 0.211 0.000
0.000 0.789 0.500
0.500 0.341 0.500
0.500 0.659 0.000
0.500 0.499 0.751
0.500 0.501 0.251
0.000 0.203 0.499
0.000 0.797 0.999
```


Record 2
A relaxed CsZrNO crystal, computed with PBE-GGA.

Calculated values
- energy relative to the lowest polymorph listed for this composition (kcal/mol of atoms) = 2.89
- magnetic moment (μB/f.u.) = 0.00

```
CsZrNO
1.0
6.485 0.000 0.000
0.000 3.652 0.000
0.000 0.000 7.398
Cs Zr N O
2 2 2 2
direct
0.250 0.000 0.209
0.750 0.000 0.791
0.250 0.500 0.660
0.750 0.500 0.340
0.000 0.500 0.500
0.500 0.500 0.500
0.250 0.000 0.799
0.750 0.000 0.201
```


Record 3
A relaxed CsZrNO crystal, computed with PBE-GGA.

Calculated values
- energy relative to the lowest polymorph listed for this composition (kcal/mol of atoms) = 12.78
- magnetic moment (μB/f.u.) = 0.00

```
CsZrNO
1.0
4.563 0.000 0.000
0.000 4.563 0.000
0.000 0.000 8.273
Cs Zr N O
2 2 2 2
direct
0.250 0.750 0.000
0.750 0.250 0.000
0.250 0.250 0.434
0.750 0.750 0.566
0.250 0.250 0.213
0.750 0.750 0.787
0.250 0.750 0.500
0.750 0.250 0.500
```


Record 4
A relaxed CsZrNO crystal, computed with PBE-GGA.

Calculated values
- energy relative to the lowest polymorph listed for this composition (kcal/mol of atoms) = 0.00
- magnetic moment (μB/f.u.) = 0.00

```
CsZrNO
1.0
6.500 0.000 0.000
0.000 9.051 0.000
0.000 0.000 5.990
Cs Zr N O
4 4 4 4
direct
0.050 0.137 0.000
0.450 0.137 0.500
0.550 0.863 0.000
0.950 0.863 0.500
0.088 0.591 0.979
0.412 0.591 0.479
0.588 0.409 0.979
0.912 0.409 0.479
0.135 0.541 0.639
0.365 0.541 0.139
0.635 0.459 0.639
0.865 0.459 0.139
0.027 0.800 0.007
0.473 0.800 0.507
0.527 0.200 0.007
0.973 0.200 0.507
```


The lowest energy relative to the lowest polymorph listed for this composition belongs to which entry? number 4


The lowest energy relative to the lowest polymorph listed for this composition belongs to which entry? number 4